[1]
First-principles (PBE) data for an optimized crystal structure of Nd5SnHg3, as listed in Alexandria via LeMat-Bulk.

abc: 9.585 9.585 6.668
angles: 90.00 90.00 120.00
Fractional positions:
Nd 0.000 0.284 0.250
Nd 0.000 0.716 0.750
Nd 0.284 0.000 0.250
Nd 0.284 0.284 0.750
Nd 0.333 0.667 0.000
Nd 0.333 0.667 0.500
Nd 0.667 0.333 0.000
Nd 0.667 0.333 0.500
Nd 0.716 0.000 0.750
Nd 0.716 0.716 0.250
Sn 0.000 0.000 0.000
Sn 0.000 0.000 0.500
Hg 0.000 0.382 0.750
Hg 0.000 0.618 0.250
Hg 0.382 0.000 0.750
Hg 0.382 0.382 0.250
Hg 0.618 0.000 0.250
Hg 0.618 0.618 0.750

As for the symmetry: P6_3/mcm (193). As for the total energy: -65.7 eV/cell. The energy of formation is -456 meV/atom. The density of states at the Fermi level comes out at 0.87 states/eV per atom.

[2]
First-principles (PBE) data for an optimized crystal structure of NdSnHg, as listed in Alexandria via LeMat-Bulk.

abc: 6.380 6.380 6.380
angles: 136.87 108.00 87.77
Fractional positions:
Nd 0.000 0.000 0.000
Nd 0.610 0.110 0.500
Sn 0.184 0.395 0.790
Sn 0.605 0.395 0.210
Hg 0.012 0.711 0.301
Hg 0.410 0.711 0.699

As for the symmetry: Imm2 (44). As for the total energy: -21.2 eV/cell. The energy of formation is -510 meV/atom. The density of states at the Fermi level comes out at 0.67 states/eV per atom.

[3]
First-principles (PBE) data for an optimized crystal structure of Nd2SnHg, as listed in Alexandria via LeMat-Bulk.

abc: 9.391 9.391 9.391
angles: 24.57 24.57 24.57
Fractional positions:
Nd 0.249 0.249 0.249
Nd 0.751 0.751 0.751
Sn 0.500 0.500 0.500
Hg 0.000 0.000 0.000

As for the symmetry: R-3m (166). As for the total energy: -15.5 eV/cell. The energy of formation is -420 meV/atom. The density of states at the Fermi level comes out at 0.92 states/eV per atom.

[4]
First-principles (PBE) data for an optimized crystal structure of Nd2SnHg5, as listed in Alexandria via LeMat-Bulk.

abc: 6.712 13.489 4.592
angles: 90.00 90.00 90.00
Fractional positions:
Nd 0.232 0.121 0.000
Nd 0.268 0.621 0.000
Nd 0.732 0.379 0.000
Nd 0.768 0.879 0.000
Sn 0.000 0.000 0.500
Sn 0.500 0.500 0.500
Hg 0.000 0.500 0.500
Hg 0.023 0.751 0.500
Hg 0.234 0.371 0.000
Hg 0.266 0.871 0.000
Hg 0.477 0.251 0.500
Hg 0.500 0.000 0.500
Hg 0.523 0.749 0.500
Hg 0.734 0.129 0.000
Hg 0.766 0.629 0.000
Hg 0.977 0.249 0.500

As for the symmetry: Pbam (55). As for the total energy: -36.7 eV/cell. The energy of formation is -415 meV/atom. The density of states at the Fermi level comes out at 0.69 states/eV per atom.

[5]
First-principles (PBE) data for an optimized crystal structure of Nd7Sn5Hg, as listed in Alexandria via LeMat-Bulk.

abc: 8.521 8.521 8.521
angles: 135.31 96.02 100.62
Fractional positions:
Nd 0.000 0.000 0.000
Nd 0.309 0.642 0.668
Nd 0.381 0.381 0.000
Nd 0.459 0.125 0.334
Nd 0.791 0.125 0.666
Nd 0.863 0.363 0.500
Nd 0.974 0.642 0.332
Sn 0.130 0.138 0.494
Sn 0.130 0.637 0.992
Sn 0.381 0.881 0.500
Sn 0.645 0.138 0.008
Sn 0.645 0.637 0.506
Hg 0.681 0.681 0.000

As for the symmetry: Imm2 (44). As for the total energy: -60.0 eV/cell. The energy of formation is -484 meV/atom. The density of states at the Fermi level comes out at 0.94 states/eV per atom.

[6]
First-principles (PBE) data for an optimized crystal structure of Nd2SnHg4, as listed in Alexandria via LeMat-Bulk.

abc: 6.374 6.374 6.672
angles: 118.41 118.41 90.10
Fractional positions:
Nd 0.000 0.500 0.000
Nd 0.500 0.000 0.000
Sn 0.000 0.000 0.000
Hg 0.000 0.000 0.500
Hg 0.000 0.500 0.500
Hg 0.500 0.000 0.500
Hg 0.500 0.500 0.500

As for the symmetry: C2/m (12). As for the total energy: -17.2 eV/cell. The energy of formation is -346 meV/atom. The density of states at the Fermi level comes out at 0.49 states/eV per atom.